No. 1
Below is a relaxed Zr2NpRu4 crystal, with properties calculated at the PBE level.

ΔH_f (0 K): -0.052 eV/atom
Crystal system: trigonal

Unit cell a=4.5825 b=4.5825 c=21.8766 alpha=90.00 beta=90.00 gamma=120.00
Last column: nearest neighbours and their distance in Å.
Space group R-3m (No. 166, hexagonal axes)
Unique sites:
Zr  0.0000  0.0000  0.2391 [6 per cell]  8 Ru 2.67-2.91
Np  0.0000  0.0000  0.0000 [3 per cell]  8 Ru 2.56-2.78
Ru  0.0000  0.0000  0.1170 [6 per cell]  1 Np 2.56, 4 Zr 2.67-2.69
Ru  0.0000  0.0000  0.3720 [6 per cell]  3 Np 2.78, 4 Zr 2.91

No. 2
Below is a relaxed BeHg crystal, with properties calculated at the PBE level.

ΔH_f (0 K): 0.441 eV/atom
Crystal system: orthorhombic
Energy above the lowest structure with this stoichiometry: 146 meV per atom

Unit cell a=2.8447 b=3.6663 c=6.3128 alpha=90.00 beta=90.00 gamma=90.00
Last column: nearest neighbours and their distance in Å.
Space group Pmmn (No. 59, origin choice 2)
Unique sites:
Be  0.2500  0.2500  0.0013 [2 per cell]  4 Be 2.32, 2 Hg 2.54
Hg  0.2500  0.7500  0.3326 [2 per cell]  4 Be 2.54-2.78, 2 Hg 2.84

No. 3
Below is a relaxed RbTbP2S8 crystal, with properties calculated at the PBE level.

Crystal system: trigonal
Formation energy without anion corrections: -591 meV/atom

Unit cell a=6.1923 b=6.1923 c=9.6017 alpha=90.00 beta=90.00 gamma=120.00
Last column: nearest neighbours and their distance in Å.
Space group P-3 (No. 147)
Unique sites:
Rb  0.0000  0.0000  0.0000 [1 per cell]  12 S 3.62-3.88
Tb  0.0000  0.0000  0.5000 [1 per cell]  6 S 2.78
P  0.3333  0.6667  0.7293 [2 per cell]  4 S 2.04-2.05
S  0.0013  0.3641  0.6705 [6 per cell]  1 P 2.05
S  0.3333  0.6667  0.9413 [2 per cell]  1 P 2.04

No. 4
Below is a relaxed Hg3S crystal, with properties calculated at the PBE level.

Crystal system: orthorhombic
Formation energy without anion corrections: 135 meV/atom

Unit cell a=4.2777 b=5.6194 c=4.2989 alpha=90.00 beta=90.00 gamma=90.00
Last column: nearest neighbours and their distance in Å.
Space group Pmm2 (No. 25)
Unique sites:
Hg  0.0000  0.0000  0.0000 [1 per cell]  6 Hg 2.83-3.06
Hg  0.0000  0.5000  0.0840 [1 per cell]  2 Hg 2.83, 2 S 2.85
Hg  0.5000  0.0000  0.5091 [1 per cell]  2 S 2.81, 4 Hg 3.00-3.06
S  0.5000  0.5000  0.5231 [1 per cell]  4 Hg 2.81-2.85

No. 5
Below is a relaxed RbAg2Br3 crystal, with properties calculated at the PBE level.

Crystal system: orthorhombic
Formation energy without anion corrections: -806 meV/atom

Unit cell a=10.2627 b=14.0071 c=5.8187 alpha=90.00 beta=90.00 gamma=90.00
Last column: nearest neighbours and their distance in Å.
Space group Cmcm (No. 63)
Unique sites:
Rb  0.0000  0.2267  0.2500 [4 per cell]  8 Br 3.61-3.76
Ag  0.1925  0.5000  0.0000 [8 per cell]  4 Br 2.67-2.88, 2 Ag 2.91
Br  0.0000  0.3923  0.7500 [4 per cell]  4 Ag 2.88
Br  0.1995  0.1390  0.7500 [8 per cell]  2 Ag 2.67

No. 6
Below is a relaxed HfCd2Ga2 crystal, with properties calculated at the PBE level.

ΔH_f (0 K): 0.046 eV/atom
Crystal system: tetragonal
Energy above the lowest structure with this stoichiometry: 0 meV per atom

Unit cell a=7.7663 b=7.7663 c=3.3282 alpha=90.00 beta=90.00 gamma=90.00
Last column: nearest neighbours and their distance in Å.
Space group P4/mbm (No. 127)
Unique sites:
Hf  0.0000  0.0000  0.0000 [2 per cell]  4 Ga 2.97
Cd  0.1540  0.3460  0.5000 [4 per cell]  6 Ga 2.75-2.87
Ga  0.1468  0.6468  0.0000 [4 per cell]  6 Cd 2.75-2.87, 2 Hf 2.97

No. 7
Below is a relaxed Ce2ErSi6 crystal, with properties calculated at the PBE level.

Crystal system: hexagonal
Formation energy without anion corrections: -619 meV/atom

Unit cell a=7.0431 b=7.0431 c=4.0501 alpha=90.00 beta=90.00 gamma=120.00
Last column: nearest neighbours and their distance in Å.
Space group P6/mmm (No. 191)
Unique sites:
Ce  0.3333  0.6667  0.0000 [2 per cell]  12 Si 3.10
Er  0.0000  0.0000  0.0000 [1 per cell]  12 Si 3.10
Si  0.0000  0.3324  0.5000 [6 per cell]  3 Si 2.34-2.36

No. 8
Below is a relaxed Pm2Sn6Ru crystal, with properties calculated at the PBE level.

ΔH_f (0 K): -0.398 eV/atom
Crystal system: orthorhombic
Energy above the lowest structure with this stoichiometry: 0 meV per atom

Unit cell a=4.5453 b=4.3744 c=24.0377 alpha=90.00 beta=90.00 gamma=90.00
Last column: nearest neighbours and their distance in Å.
Space group Amm2 (No. 38)
Unique sites:
Pm  0.0000  0.0000  0.0000 [2 per cell]  10 Sn 3.23-3.47
Pm  0.0000  0.0000  0.3394 [2 per cell]  8 Sn 3.39-3.62, 4 Ru 3.43
Sn  0.0000  0.0000  0.6048 [2 per cell]  5 Sn 2.91-3.16
Sn  0.0000  0.0000  0.7260 [2 per cell]  2 Ru 2.66, 1 Sn 2.91
Sn  0.5000  0.0000  0.1004 [2 per cell]  5 Sn 2.93-3.16
Sn  0.5000  0.0000  0.2221 [2 per cell]  2 Ru 2.64, 1 Sn 2.93
Sn  0.5000  0.0000  0.4716 [2 per cell]  2 Sn 2.92, 4 Pm 3.23
Sn  0.5000  0.0000  0.8911 [2 per cell]  1 Ru 2.58
Ru  0.5000  0.0000  0.7837 [2 per cell]  5 Sn 2.58-2.66

Total DFT energy (no corrections) (eV/atom)
-9.6437 -1.5729 -4.7109 -1.1232 -2.7539 -3.5216 -6.0604 -5.1530
Spin magnetization (μB per formula unit)
1.598 0.000 2.043 0.000 0.000 0.000 0.000 0.000